Here is PaCo2TcO8 after structural relaxation from Alexandria. Energies are from PBE with a Hubbard U.

The structure in extended XYZ format:
```
12
Lattice="5.737 0.458 0.000 -2.134 5.345 0.000 -1.801 -2.901 4.632" Properties=species:S:1:pos:R:3 pbc="T T T"
Pa -1.067 2.672 2.316
Co 2.868 0.229 2.316
Co 1.801 2.901 0.000
Tc 0.000 0.000 0.000
O 1.351 -0.346 1.331
O 0.305 2.045 0.820
O -0.103 -1.721 3.812
O 3.026 -1.386 3.301
O 3.298 3.757 0.820
O 4.385 0.804 1.331
O 2.711 1.844 3.301
O 0.103 1.721 3.812
```

## Properties
Raw total energy in eV per atom: -7.452
Symmetry: I-4m2
Crystal system: tetragonal